Compound: Er6LuHg
Source: OQMD
Functional: GGA-PBE
Structure: optimized geometry

Properties
The value obtained for the formation energy is -42 meV/atom. The total moment is 0.949 Bohr magnetons per cell. The total energy comes out at -0.149 hartree per atom.

Lattice parameters (Å, degrees): 6.9635 6.9635 5.4691 90.00 90.00 120.00
Each line ends with the local moment (μB).
Atoms (fractional coordinates):
Er (0.0090, 0.5045, 0.0000)  0.09
Er (0.3278, 0.1639, 0.5000)  0.10
Er (0.8361, 0.1639, 0.5000)  0.15
Er (0.8361, 0.6722, 0.5000)  0.13
Er (0.4955, 0.9910, 0.0000)  0.09
Er (0.4955, 0.5045, 0.0000)  0.09
Hg (0.0000, 0.0000, 0.0000)  0.01
Lu (0.3333, 0.6667, 0.5000)  0.09

***

Compound: Er2Mg3Hg3
Source: OQMD
Functional: GGA-PBE
Structure: optimized geometry

Properties
The total moment is 0.021 Bohr magnetons per cell. The total energy comes out at -0.079 hartree per atom.

Lattice parameters (Å, degrees): 6.2694 4.9206 6.4434 90.00 112.73 90.00
Atoms (fractional coordinates):
Mg (0.8474, 0.5000, 0.1446)
Mg (0.1398, 0.0000, 0.8474)
Mg (0.3333, 0.5000, 0.1180)
Hg (0.8832, 0.5000, 0.6724)
Hg (0.1437, 0.0000, 0.3169)
Hg (0.6314, 0.0000, 0.8893)
Er (0.3588, 0.5000, 0.6231)
Er (0.6623, 0.0000, 0.3883)

***

Compound: ErMgHg2
Source: OQMD
Functional: GGA-PBE
Structure: optimized geometry

Properties
The total moment is 0.003 Bohr magnetons per cell. The total energy comes out at -0.073 hartree per atom.

Lattice parameters (Å, degrees): 5.0120 6.6563 6.6563 123.79 90.00 90.00
Atoms (fractional coordinates):
Hg (0.7500, 0.1386, 0.8141)
Hg (0.2500, 0.8141, 0.1386)
Hg (0.2500, 0.3499, 0.1903)
Hg (0.7500, 0.1903, 0.3499)
Mg (0.2500, 0.8403, 0.6992)
Mg (0.7500, 0.6992, 0.8403)
Er (0.7500, 0.6626, 0.3051)
Er (0.2500, 0.3051, 0.6626)

***

Compound: Er2Mg3Hg3
Source: OQMD
Functional: GGA-PBE
Structure: optimized geometry

Properties
The total moment is 0.014 Bohr magnetons per cell. The total energy comes out at -0.077 hartree per atom.

Lattice parameters (Å, degrees): 5.0580 6.4817 6.4817 62.08 90.00 90.00
Atoms (fractional coordinates):
Hg (0.0000, 0.8243, 0.8243)
Hg (0.5000, 0.6649, 0.1839)
Hg (0.5000, 0.1839, 0.6649)
Mg (0.5000, 0.1536, 0.1536)
Mg (0.0000, 0.3115, 0.8472)
Mg (0.0000, 0.8472, 0.3115)
Er (0.5000, 0.6759, 0.6759)
Er (0.0000, 0.3387, 0.3387)

***

Compound: Er6MgHg
Source: OQMD
Functional: GGA-PBE
Structure: optimized geometry

Properties
The total moment is 0.007 Bohr magnetons per cell. The total energy comes out at -0.137 hartree per atom.

Lattice parameters (Å, degrees): 6.8797 6.8797 5.4228 90.00 90.00 120.00
Atoms (fractional coordinates):
Er (0.5039, 0.0078, 0.0000)
Er (0.1629, 0.8371, 0.5000)
Er (0.6742, 0.8371, 0.5000)
Er (0.5039, 0.4961, 0.0000)
Er (0.9922, 0.4961, 0.0000)
Er (0.1629, 0.3258, 0.5000)
Hg (0.0000, 0.0000, 0.0000)
Mg (0.6667, 0.3333, 0.5000)

***

Compound: Er2Mg3Hg3
Source: OQMD
Functional: GGA-PBE
Structure: optimized geometry

Properties
The total moment is 0.005 Bohr magnetons per cell. The total energy comes out at -0.077 hartree per atom.

Lattice parameters (Å, degrees): 6.6330 6.6330 4.8588 90.00 90.00 120.00
Atoms (fractional coordinates):
Mg (0.8257, 0.6513, 0.0000)
Mg (0.8257, 0.1743, 0.0000)
Mg (0.3487, 0.1743, 0.0000)
Hg (0.5036, 0.4964, 0.5000)
Hg (0.5036, 0.0072, 0.5000)
Hg (0.9928, 0.4964, 0.5000)
Er (0.3333, 0.6667, 0.0000)
Er (0.0000, 0.0000, 0.5000)